[1]
Computed, not measured: crystalline LiHfB at its relaxed geometry at the PBE level of DFT.

The structure belongs to space group F-43m (No. 216); the cell edges are 5.341, 5.341 and 5.341 Å and the angles 90.00°, 90.00° and 90.00°. Symmetry generates all atoms from Li at (0.000, 0.000, 0.000), Hf at (0.250, 0.250, 0.250) and B at (0.250, 0.250, 0.750).

The calculation puts the total energy at -5.689 eV/atom. The value obtained for the mass density is 8.56 g/cm3.

***

[2]
Computed, not measured: crystalline Li2ZnI4 at its relaxed geometry at the PBE level of DFT.

The structure belongs to space group Pnma (No. 62); the cell edges are 14.818, 8.564 and 7.028 Å and the angles 90.00°, 90.00° and 90.00°. Symmetry generates all atoms from Li at (0.000, 0.000, 0.000), Li at (0.236, 0.250, 0.499), Zn at (0.087, 0.750, 0.597), I at (0.077, 0.250, 0.249), I at (0.089, 0.750, 0.225) and I at (0.167, 0.506, 0.755).

The calculation puts the total energy at -2.538 eV/atom. The value obtained for the mass density is 4.37 g/cm3.

***

[3]
Computed, not measured: crystalline ErPdPt at its relaxed geometry at the PBE level of DFT.

The structure belongs to space group F-43m (No. 216); the cell edges are 6.419, 6.419 and 6.419 Å and the angles 90.00°, 90.00° and 90.00°. Symmetry generates all atoms from Er at (0.000, 0.000, 0.000), Pd at (0.250, 0.250, 0.750) and Pt at (0.250, 0.250, 0.250).

The calculation puts the total energy at -5.836 eV/atom. The value obtained for the formation energy from the elements is -0.571 eV per atom. The value obtained for the mass density is 11.77 g/cm3.

***

[4]
Computed, not measured: crystalline NdAl5CuPt at its relaxed geometry at the PBE level of DFT.

The structure belongs to space group Imm2 (No. 44); the cell edges are 4.080, 7.242 and 9.825 Å and the angles 90.00°, 90.00° and 90.00°. Symmetry generates all atoms from Nd at (0.000, 0.000, 0.000), Al at (0.000, 0.188, 0.345), Al at (0.000, 0.190, 0.647), Al at (0.000, 0.500, 0.988), Cu at (0.000, 0.500, 0.747) and Pt at (0.000, 0.500, 0.235).

The calculation puts the total energy at -4.772 eV/atom. The value obtained for the mass density is 6.15 g/cm3.

***

[5]
Computed, not measured: crystalline CdFeGeSe3 at its relaxed geometry at the PBE level of DFT.

The structure belongs to space group Cmcm (No. 63); the cell edges are 3.816, 12.962 and 11.152 Å and the angles 90.00°, 90.00° and 90.00°. Symmetry generates all atoms from Cd at (0.000, 0.000, 0.000), Fe at (0.000, 0.463, 0.250), Ge at (0.000, 0.203, 0.750), Se at (0.000, 0.084, 0.250) and Se at (0.000, 0.352, 0.074).

The calculation puts the total energy at -4.205 eV/atom. The value obtained for the mass density is 5.75 g/cm3.

***

[6]
Computed, not measured: crystalline La2MgCoSe6 at its relaxed geometry at the PBE level of DFT.

The structure belongs to space group P-1 (No. 2); the cell edges are 6.358, 6.503 and 6.693 Å and the angles 68.70°, 68.43° and 68.70°. Symmetry generates all atoms from La at (0.250, 0.238, 0.245), Mg at (0.500, 0.500, 0.500), Co at (0.000, 0.000, 0.000), Se at (0.143, 0.333, 0.784), Se at (0.231, 0.858, 0.672) and Se at (0.331, 0.765, 0.152).

The calculation puts the total energy at -5.149 eV/atom. The value obtained for the mass density is 6.00 g/cm3.

***

[7]
Computed, not measured: crystalline LuFeNiB at its relaxed geometry at the PBE level of DFT.

The structure belongs to space group F-43m (No. 216); the cell edges are 5.805, 5.805 and 5.805 Å and the angles 90.00°, 90.00° and 90.00°. Symmetry generates all atoms from Lu at (0.000, 0.000, 0.000), Fe at (0.250, 0.250, 0.750), Ni at (0.250, 0.250, 0.250) and B at (0.000, 0.000, 0.500).

The calculation puts the total energy at -5.972 eV/atom. The value obtained for the mass density is 10.20 g/cm3.

***

[8]
Computed, not measured: crystalline DyPa2 at its relaxed geometry at the PBE level of DFT.

The structure belongs to space group Fd-3m (No. 227, origin choice 2); the cell edges are 11.813, 11.813 and 11.813 Å and the angles 90.00°, 90.00° and 90.00°. Symmetry generates all atoms from Dy at (0.125, 0.125, 0.125) and Pa at (0.000, 0.000, 0.000).

The calculation puts the total energy at -4.792 eV/atom. The value obtained for the formation energy from the elements is 3.072 eV per atom. The value obtained for the mass density is 5.03 g/cm3.

***

The lowest mass density belongs to which entry?
Li2ZnI4

***

Copy entry 2 word for word.
Computed, not measured: crystalline Li2ZnI4 at its relaxed geometry at the PBE level of DFT.

The structure belongs to space group Pnma (No. 62); the cell edges are 14.818, 8.564 and 7.028 Å and the angles 90.00°, 90.00° and 90.00°. Symmetry generates all atoms from Li at (0.000, 0.000, 0.000), Li at (0.236, 0.250, 0.499), Zn at (0.087, 0.750, 0.597), I at (0.077, 0.250, 0.249), I at (0.089, 0.750, 0.225) and I at (0.167, 0.506, 0.755).

The calculation puts the total energy at -2.538 eV/atom. The value obtained for the mass density is 4.37 g/cm3.

***

What did the second record say?
Computed, not measured: crystalline Li2ZnI4 at its relaxed geometry at the PBE level of DFT.

The structure belongs to space group Pnma (No. 62); the cell edges are 14.818, 8.564 and 7.028 Å and the angles 90.00°, 90.00° and 90.00°. Symmetry generates all atoms from Li at (0.000, 0.000, 0.000), Li at (0.236, 0.250, 0.499), Zn at (0.087, 0.750, 0.597), I at (0.077, 0.250, 0.249), I at (0.089, 0.750, 0.225) and I at (0.167, 0.506, 0.755).

The calculation puts the total energy at -2.538 eV/atom. The value obtained for the mass density is 4.37 g/cm3.

***

Which formula does entry 1 have?
LiHfB